The following is a DFT calculation (PBE) of an optimized crystal structure of SmTmSN.

```
data_SmTmSN
_chemical_formula_sum 'Sm3 Tm3 S3 N3'
_space_group_name_H-M_alt 'R 3 m'
_space_group_IT_number 160
_space_group_name_Hall 'R 3 -2"'
_cell_length_a 3.6298
_cell_length_b 3.6298
_cell_length_c 19.0257
_cell_angle_alpha 90.00
_cell_angle_beta 90.00
_cell_angle_gamma 120.00
loop_
_atom_site_label
_atom_site_fract_x
_atom_site_fract_y
_atom_site_fract_z
Sm1 0.0000 0.0000 0.0000
Tm1 0.0000 0.0000 0.5272
S1 0.0000 0.0000 0.7676
N1 0.0000 0.0000 0.2567
```

As for the uncorrected formation energy: -1.830 eV/atom.